No. 1
VASP calculation (meta-GGA SCAN) on a crystal of BaScAs2 relaxed with PBEsol.

Results
D(E_F): 0.669 states/eV per atom
raw total energy: -0.8965 Ha/atom
energy of formation: -0.852 eV/atom
size of the total moment: 0.00 μB/cell
energy above the lowest structure with this stoichiometry: 0.48 eV per formula unit

Structure (CIF):
```
data_BaScAs2
_space_group_name_H-M_alt 'P 1'
_space_group_IT_number 1
_space_group_name_Hall 'P 1'
_cell_length_a 4.673
_cell_length_b 5.324
_cell_length_c 5.324
_cell_angle_alpha 70.57
_cell_angle_beta 63.97
_cell_angle_gamma 63.97
loop_
_atom_site_label
_atom_site_fract_x
_atom_site_fract_y
_atom_site_fract_z
As1 0.200 0.800 0.800
As2 0.800 0.200 0.200
Ba1 0.000 0.500 0.500
Sc1 0.500 0.000 0.000
```


No. 2
VASP calculation (meta-GGA SCAN) on a crystal of SrCd2Pt relaxed with PBEsol.

Results
D(E_F): 0.480 states/eV per atom
raw total energy: -1.4283 Ha/atom
energy of formation: -0.541 eV/atom
size of the total moment: 0.00 μB/cell

Structure (CIF):
```
data_SrCd2Pt
_space_group_name_H-M_alt 'P 1'
_space_group_IT_number 1
_space_group_name_Hall 'P 1'
_cell_length_a 4.706
_cell_length_b 4.707
_cell_length_c 5.867
_cell_angle_alpha 66.41
_cell_angle_beta 66.40
_cell_angle_gamma 60.08
loop_
_atom_site_label
_atom_site_fract_x
_atom_site_fract_y
_atom_site_fract_z
Cd1 0.040 0.040 0.879
Cd2 0.776 0.776 0.671
Sr1 0.244 0.244 0.269
Pt1 0.439 0.439 0.681
```


No. 3
VASP calculation (meta-GGA SCAN) on a crystal of Nd2SeOF2 relaxed with PBEsol.

Results
D(E_F): 0.000 states/eV per atom
raw total energy: -0.8738 Ha/atom
size of the total moment: 0.00 μB/cell

Structure (CIF):
```
data_Nd2SeOF2
_space_group_name_H-M_alt 'P 1'
_space_group_IT_number 1
_space_group_name_Hall 'P 1'
_cell_length_a 3.853
_cell_length_b 13.692
_cell_length_c 13.692
_cell_angle_alpha 120.00
_cell_angle_beta 90.00
_cell_angle_gamma 90.00
loop_
_atom_site_label
_atom_site_fract_x
_atom_site_fract_y
_atom_site_fract_z
O1 0.750 0.412 0.985
O2 0.750 0.573 0.588
O3 0.750 0.015 0.427
O4 0.250 0.427 0.412
O5 0.250 0.985 0.573
O6 0.250 0.588 0.015
Nd1 0.250 0.120 0.516
Nd2 0.750 0.289 0.055
Nd3 0.250 0.234 0.289
Nd4 0.750 0.766 0.711
Nd5 0.750 0.945 0.234
Nd6 0.750 0.516 0.396
Nd7 0.250 0.055 0.766
Nd8 0.250 0.484 0.604
Nd9 0.250 0.711 0.945
Nd10 0.750 0.604 0.120
Nd11 0.750 0.880 0.484
Nd12 0.250 0.396 0.880
F1 0.750 0.108 0.210
F2 0.250 0.210 0.101
F3 0.250 0.684 0.752
F4 0.750 0.752 0.068
F5 0.750 0.316 0.248
F6 0.750 0.790 0.899
F7 0.750 0.932 0.684
F8 0.250 0.068 0.316
F9 0.250 0.248 0.932
F10 0.250 0.899 0.108
F11 0.750 0.101 0.892
F12 0.250 0.892 0.790
Se1 0.250 0.795 0.282
Se2 0.250 0.718 0.513
Se3 0.750 0.513 0.795
Se4 0.250 0.487 0.205
Se5 0.750 0.282 0.487
Se6 0.750 0.205 0.718
```